Entry 1:
# Fe5Se

A relaxed Fe5Se crystal (GGA-PBE, Alexandria via LeMat-Bulk).

Magnetization: 11.81 μB/f.u.
E: -7.171 eV per atom
ΔE_f (raw): 0.462 eV per atom
E above lowest polymorph: 334 meV per atom

Lattice parameters (Å, degrees): 4.7568 4.7568 4.1831 90.00 90.00 120.00
Space group P6/mmm (No. 191)
One atom of each set of equivalent atoms:
Fe1 0.0000 0.5000 0.0000
Fe2 0.3333 0.6667 0.5000
Se1 0.0000 0.0000 0.5000

Entry 2:
# FeSe4

A relaxed FeSe4 crystal (GGA-PBE, Alexandria via LeMat-Bulk).

Magnetization: 3.34 μB/f.u.
E: -4.114 eV per atom
ΔE_f (raw): 0.366 eV per atom
E above lowest polymorph: 35 meV per atom

Lattice parameters (Å, degrees): 5.510 5.510 8.184 90.00 90.00 90.00
Space group I4/mmm (No. 139)
One atom of each set of equivalent atoms:
Fe1 0.000 0.000 0.000
Se1 0.000 0.000 0.284
Se2 0.000 0.500 0.250

Entry 3:
# FeSe2

A relaxed FeSe2 crystal (GGA-PBE, Alexandria via LeMat-Bulk).

Magnetization: 1.89 μB/f.u.
E: -5.082 eV per atom
ΔE_f (raw): 0.062 eV per atom

Lattice parameters (Å, degrees): 2.908 3.006 13.013 90.00 90.00 90.00
Space group Immm (No. 71)
One atom of each set of equivalent atoms:
Fe1 0.000 0.000 0.000
Se1 0.000 0.000 0.382

Entry 4:
# Fe7Se

A relaxed Fe7Se crystal (GGA-PBE, Alexandria via LeMat-Bulk).

Magnetization: 18.48 μB/f.u.
E: -7.660 eV per atom
ΔE_f (raw): 0.181 eV per atom

Lattice parameters (Å, degrees): 7.367 7.367 7.367 90.00 90.00 90.00
Space group Fm-3m (No. 225)
One atom of each set of equivalent atoms:
Fe1 0.000 0.000 0.000
Fe2 0.000 0.250 0.250
Se1 0.000 0.000 0.500

Entry 5:
# FeSe2

A relaxed FeSe2 crystal (GGA-PBE, Alexandria via LeMat-Bulk).

Magnetization: 3.47 μB/f.u.
E: -4.967 eV per atom
ΔE_f (raw): 0.177 eV per atom

Lattice parameters (Å, degrees): 5.905 5.905 6.257 90.00 90.00 90.00
Space group I4/mcm (No. 140)
One atom of each set of equivalent atoms:
Fe1 0.000 0.000 0.250
Se1 0.150 0.350 0.000

Entry 6:
# Fe2Se3

A relaxed Fe2Se3 crystal (GGA-PBE, Alexandria via LeMat-Bulk).

Magnetization: 4.43 μB/f.u.
E: -5.410 eV per atom
ΔE_f (raw): 0.066 eV per atom

Lattice parameters (Å, degrees): 4.1617 4.1617 6.5995 90.00 90.00 120.00
Space group P-3m1 (No. 164)
One atom of each set of equivalent atoms:
Fe1 0.3333 0.6667 0.3917
Se1 0.0000 0.0000 0.5000
Se2 0.3333 0.6667 0.7735